(1)
Below is an optimized crystal structure of Ba3CeAu4, with properties calculated at the PBE level.

Geometry as extended XYZ:
```
8
Lattice="3.934 0.000 0.000 0.000 3.934 0.000 0.000 0.000 15.941" Properties=species:S:1:pos:R:3 pbc="T T T"
Ba 0.000 0.000 0.000
Ba 0.000 0.000 4.121
Ba 0.000 0.000 11.819
Ce 0.000 0.000 7.970
Au 1.967 1.967 2.044
Au 1.967 1.967 6.422
Au 1.967 1.967 9.519
Au 1.967 1.967 13.897
```

Output
As for the volume: 30.83 Å³/atom. The crystal system is tetragonal. The calculation puts the formation energy at -656 meV/atom. For the uncorrected energy, the calculation gives -3.757 eV/atom. Its total magnetization is 1.02 μB per formula unit. As for the space-group type: P4/mmm (123).



(2)
Below is an optimized crystal structure of CdFe2SnHg, with properties calculated at the PBE level.

Geometry as extended XYZ:
```
5
Lattice="4.973 0.000 0.000 0.000 4.973 0.000 0.000 0.000 5.317" Properties=species:S:1:pos:R:3 pbc="T T T"
Cd 0.000 0.000 0.000
Fe 0.000 2.486 0.000
Fe 2.486 0.000 0.000
Sn 0.000 0.000 2.659
Hg 2.486 2.486 2.659
```

Output
As for the volume: 26.30 Å³/atom. The crystal system is tetragonal. The calculation puts the formation energy at 1246 meV/atom. For the uncorrected energy, the calculation gives -3.183 eV/atom. Its total magnetization is 6.29 μB per formula unit. As for the space-group type: P4/mmm (123).



(3)
Below is an optimized crystal structure of VMo8W2, with properties calculated at the PBE level.

Geometry as extended XYZ:
```
11
Lattice="6.415 -2.249 0.000 6.415 2.249 0.000 -3.875 0.000 6.239" Properties=species:S:1:pos:R:3 pbc="T T T"
V 0.000 0.000 0.000
Mo -0.836 0.000 2.453
Mo -1.290 0.000 5.911
Mo 1.077 0.000 4.295
Mo 5.320 0.000 0.901
Mo 3.634 0.000 5.338
Mo 7.877 0.000 1.944
Mo 10.245 0.000 0.328
Mo 9.791 0.000 3.786
W 3.043 0.000 2.393
W 5.912 0.000 3.846
```

Output
As for the volume: 16.36 Å³/atom. The crystal system is monoclinic. The calculation puts the formation energy at 356 meV/atom. For the uncorrected energy, the calculation gives -10.705 eV/atom. Its total magnetization is 0.00 μB per formula unit. As for the space-group type: C2/m (12).



(4)
Below is an optimized crystal structure of ScGe2Sb, with properties calculated at the PBE level.

Geometry as extended XYZ:
```
8
Lattice="-3.256 3.256 5.676 3.256 -3.256 5.676 3.256 3.256 -5.676" Properties=species:S:1:pos:R:3 pbc="T T T"
Sc 0.000 0.000 0.000
Sc 0.000 3.256 2.838
Ge 1.628 -1.578 4.257
Ge 1.677 1.628 1.419
Ge 1.628 4.834 -1.419
Ge 1.578 1.628 7.095
Sb 3.256 0.000 2.838
Sb 0.000 0.000 5.676
```

Output
As for the volume: 30.08 Å³/atom. The crystal system is tetragonal. For the uncorrected energy, the calculation gives -4.829 eV/atom. Its total magnetization is 0.00 μB per formula unit. As for the space-group type: I-42d (122). For the formation energy without anion corrections, the calculation gives 0.093 eV per atom.



Please write out number 2 again, unchanged.
Below is an optimized crystal structure of CdFe2SnHg, with properties calculated at the PBE level.

Geometry as extended XYZ:
```
5
Lattice="4.973 0.000 0.000 0.000 4.973 0.000 0.000 0.000 5.317" Properties=species:S:1:pos:R:3 pbc="T T T"
Cd 0.000 0.000 0.000
Fe 0.000 2.486 0.000
Fe 2.486 0.000 0.000
Sn 0.000 0.000 2.659
Hg 2.486 2.486 2.659
```

Output
As for the volume: 26.30 Å³/atom. The crystal system is tetragonal. The calculation puts the formation energy at 1246 meV/atom. For the uncorrected energy, the calculation gives -3.183 eV/atom. Its total magnetization is 6.29 μB per formula unit. As for the space-group type: P4/mmm (123).



Q: total magnetization of number 4 (ScGe2Sb)?
A: 0.00 μB per formula unit



Repeat the first record exactly.
Below is an optimized crystal structure of Ba3CeAu4, with properties calculated at the PBE level.

Geometry as extended XYZ:
```
8
Lattice="3.934 0.000 0.000 0.000 3.934 0.000 0.000 0.000 15.941" Properties=species:S:1:pos:R:3 pbc="T T T"
Ba 0.000 0.000 0.000
Ba 0.000 0.000 4.121
Ba 0.000 0.000 11.819
Ce 0.000 0.000 7.970
Au 1.967 1.967 2.044
Au 1.967 1.967 6.422
Au 1.967 1.967 9.519
Au 1.967 1.967 13.897
```

Output
As for the volume: 30.83 Å³/atom. The crystal system is tetragonal. The calculation puts the formation energy at -656 meV/atom. For the uncorrected energy, the calculation gives -3.757 eV/atom. Its total magnetization is 1.02 μB per formula unit. As for the space-group type: P4/mmm (123).



Q: Which value of total magnetization does entry 2 give?
A: 6.29 μB per formula unit